The following is a DFT calculation (meta-GGA SCAN) of a crystal of CsInOsPb2 relaxed with PBEsol.

Lattice parameters (Å, degrees): 5.851 5.973 5.973 90.00 90.00 90.00
Fractional coordinates of all 5 atoms:
Os  0.500  0.500  0.500
Cs  0.000  0.000  0.000
Pb  0.000  0.000  0.500
In  0.500  0.000  0.000
Pb  0.000  0.500  0.000

## Properties
DFT formation energy	2.582	eV per atom
size of the total moment	0.563	μB per atom
total DFT energy (no corrections)	-56.345	eV per atom